# TiSi2Au (PBE, optimized geometry)
# VASP energy   -5.405 eV/atom
# Raw formation energy   99 meV per atom
# Total magnetic moment   0.9 μB/f.u.
# Density   7.9 Mg/m³
data_TiSi2Au
_chemical_formula_sum 'Ti4 Si8 Au4'
_symmetry_space_group_name_H-M 'F m -3 m'
_symmetry_Int_Tables_number 225
_symmetry_space_group_name_Hall '-F 4 2 3'
_cell_length_a 6.327
_cell_length_b 6.327
_cell_length_c 6.327
_cell_angle_alpha 90.00
_cell_angle_beta 90.00
_cell_angle_gamma 90.00
loop_
_atom_site_label
_atom_site_type_symbol
_atom_site_fract_x
_atom_site_fract_y
_atom_site_fract_z
Ti1 Ti 0.000 0.000 0.000
Si1 Si 0.250 0.250 0.250
Au1 Au 0.000 0.000 0.500